The following is a GGA-PBE calculation of a relaxed Sc3SnN crystal, from Alexandria via LeMat-Bulk.

formation energy without anion corrections = -825 meV/atom
DOS(E_F) = 11.1 states/eV/cell
V = 20.9 Å³/atom

Cell lengths 12.1070, 8.0254, 8.0254 Å; angles 105.60, 131.47, 48.53 degrees
Atoms (fractional coordinates):
Sn1 0.2500 0.9252 0.4252
Sc1 0.6287 0.3070 0.2085
Sn2 0.7500 0.0748 0.5748
Sn3 0.7500 0.5838 0.0838
Sc2 0.8713 0.7085 0.8070
N1 0.2317 0.4378 0.4533
N2 0.7683 0.5622 0.5467
Sc3 0.8333 0.1391 0.0181
Sc4 0.1287 0.2915 0.1930
Sc5 0.1667 0.8609 0.9819
Sc6 0.9665 0.7458 0.3720
Sc7 0.6667 0.5181 0.6391
Sc8 0.0335 0.2542 0.6280
N3 0.7317 0.0467 0.0622
Sc9 0.3713 0.6930 0.7915
Sc10 0.3333 0.4819 0.3609
Sc11 0.5335 0.8720 0.2458
Sn4 0.2500 0.4162 0.9162
N4 0.2683 0.9533 0.9378
Sc12 0.4665 0.1280 0.7542

The following is a GGA-PBE calculation of a relaxed NaLiRh2N crystal, from Alexandria via LeMat-Bulk.

E above lowest polymorph = 63.5 meV/atom
formation energy without anion corrections = -50 meV/atom
DOS(E_F) = 2.4 states/eV/cell
V = 14.6 Å³/atom

Cell lengths 3.9784, 3.9784, 4.6137 Å; angles 90.00, 90.00, 90.00 degrees
Atoms (fractional coordinates):
Li1 0.5000 0.5000 0.5000
Na1 0.0000 0.0000 0.5000
N1 0.0000 0.0000 0.0000
Rh1 0.5000 0.0000 0.0000
Rh2 0.0000 0.5000 0.0000

The following is a GGA-PBE calculation of a relaxed NaTa3O8 crystal, from Alexandria via LeMat-Bulk.

E above lowest polymorph = 97.9 meV/atom
formation energy without anion corrections = -2647 meV/atom
DOS(E_F) = 0.0 states/eV/cell
V = 16.2 Å³/atom

Cell lengths 5.8802, 5.8802, 6.5017 Å; angles 90.00, 90.00, 120.00 degrees
Atoms (fractional coordinates):
Ta1 0.3333 0.6667 0.2739
O1 0.1560 0.3119 0.1835
O2 0.8440 0.6881 0.8165
Na1 0.0000 0.0000 0.5000
O3 0.3333 0.6667 0.5476
O4 0.3119 0.1560 0.8165
Ta2 0.6667 0.3333 0.7261
O5 0.6881 0.8440 0.1835
O6 0.6667 0.3333 0.4524
O7 0.1560 0.8440 0.1835
O8 0.8440 0.1560 0.8165
Ta3 0.0000 0.0000 0.0000

The following is a GGA-PBE calculation of a relaxed PmCu2S2 crystal, from Alexandria via LeMat-Bulk.

formation energy without anion corrections = -828 meV/atom
DOS(E_F) = 3.2 states/eV/cell
V = 19.8 Å³/atom

Cell lengths 7.2421, 5.7597, 5.7597 Å; angles 89.96, 113.59, 113.59 degrees
Atoms (fractional coordinates):
Cu1 0.0000 0.5000 0.5000
S1 0.7677 0.6332 0.8845
S2 0.2677 0.8845 0.6332
Cu2 0.5000 0.5000 0.0000
S3 0.2323 0.3668 0.1155
S4 0.7323 0.1155 0.3668
Pm1 0.7500 0.1245 0.8755
Cu3 0.5000 0.5000 0.5000
Cu4 0.0000 0.0000 0.5000
Pm2 0.2500 0.8755 0.1245

The following is a GGA-PBE calculation of a relaxed PrTm2NpO8 crystal, from Alexandria via LeMat-Bulk.

formation energy without anion corrections = -3162 meV/atom
DOS(E_F) = 1.3 states/eV/cell
V = 15.3 Å³/atom

Cell lengths 5.0871, 5.0928, 7.0886 Å; angles 90.00, 90.00, 89.65 degrees
Atoms (fractional coordinates):
Tm1 0.5000 0.5000 0.2600
Pr1 0.0000 0.0000 0.5000
O1 0.1892 0.8105 0.2150
Np1 0.0000 0.0000 0.0000
O2 0.3196 0.3187 0.5000
O3 0.6804 0.6813 0.5000
O4 0.8109 0.1895 0.2150
O5 0.1891 0.8105 0.7850
O6 0.2803 0.2801 0.0000
O7 0.7197 0.7199 0.0000
Tm2 0.5000 0.5000 0.7400
O8 0.8108 0.1895 0.7850

The following is a GGA-PBE calculation of a relaxed Pm3Ag4Pb2 crystal, from Alexandria via LeMat-Bulk.

DOS(E_F) = 5.4 states/eV/cell
V = 25.5 Å³/atom
energy relative to the elements = -3.15 eV per formula unit

Cell lengths 4.8257, 6.1390, 9.3744 Å; angles 113.89, 90.00, 113.14 degrees
Atoms (fractional coordinates):
Pm1 0.0000 0.0000 0.0000
Pm2 0.6575 0.3150 0.6778
Ag1 0.9175 0.8350 0.5755
Pb1 0.6186 0.2373 0.2799
Ag2 0.2890 0.5780 0.9623
Pb2 0.3814 0.7627 0.7201
Pm3 0.3425 0.6850 0.3222
Ag3 0.7110 0.4220 0.0377
Ag4 0.0825 0.1650 0.4245

The following is a GGA-PBE calculation of a relaxed Mg3Zr3Cd crystal, from Alexandria via LeMat-Bulk.

DOS(E_F) = 18.0 states/eV/cell
V = 22.3 Å³/atom
energy relative to the elements = 0.23 eV per formula unit

Cell lengths 5.1220, 8.3815, 8.3815 Å; angles 120.00, 90.00, 90.00 degrees
Atoms (fractional coordinates):
Zr1 0.2500 0.4736 0.1078
Mg1 0.2500 0.1879 0.2433
Cd1 0.2500 0.3333 0.6667
Mg2 0.7500 0.8121 0.7567
Mg3 0.2500 0.7567 0.9446
Zr2 0.7500 0.1078 0.6342
Zr3 0.7500 0.5264 0.8922
Cd2 0.7500 0.6667 0.3333
Zr4 0.2500 0.8922 0.3658
Mg4 0.2500 0.0554 0.8121
Zr5 0.2500 0.6342 0.5264
Mg5 0.7500 0.9446 0.1879
Zr6 0.7500 0.3658 0.4736
Mg6 0.7500 0.2433 0.0554

The following is a GGA-PBE calculation of a relaxed BaLaMn2 crystal, from Alexandria via LeMat-Bulk.

E above lowest polymorph = 303.3 meV/atom
DOS(E_F) = 3.8 states/eV/cell
V = 29.1 Å³/atom
energy relative to the elements = 2.95 eV per formula unit

Cell lengths 10.1044, 10.1044, 10.1044 Å; angles 21.04, 21.04, 21.04 degrees
Atoms (fractional coordinates):
Ba1 0.2500 0.2500 0.2500
Mn1 0.0058 0.0058 0.0058
Mn2 0.4942 0.4942 0.4942
La1 0.7500 0.7500 0.7500

The following is a GGA-PBE calculation of a relaxed Sr2ReRh crystal, from Alexandria via LeMat-Bulk.

E above lowest polymorph = 0.0 meV/atom
DOS(E_F) = 4.3 states/eV/cell
V = 33.1 Å³/atom
energy relative to the elements = 0.69 eV per formula unit

Cell lengths 8.8643, 8.8643, 8.8643 Å; angles 27.66, 27.66, 27.66 degrees
Atoms (fractional coordinates):
Re1 0.4581 0.4581 0.4581
Rh1 0.7919 0.7919 0.7919
Sr1 0.2138 0.2138 0.2138
Sr2 0.0362 0.0362 0.0362

The following is a GGA-PBE calculation of a relaxed TiVH4 crystal, from Alexandria via LeMat-Bulk.

E above lowest polymorph = 0.0 meV/atom
DOS(E_F) = 2.5 states/eV/cell
V = 6.6 Å³/atom

Cell lengths 3.0445, 3.0445, 4.2910 Å; angles 90.00, 90.00, 90.00 degrees
Atoms (fractional coordinates):
H1 0.0000 0.0000 0.2371
H2 0.5000 0.5000 0.7629
V1 0.0000 0.5000 0.0000
H3 0.0000 0.0000 0.7629
H4 0.5000 0.5000 0.2371
Ti1 0.5000 0.0000 0.5000

The following is a GGA-PBE calculation of a relaxed VAgPCl2 crystal, from Alexandria via LeMat-Bulk.

E above lowest polymorph = 0.0 meV/atom
formation energy without anion corrections = -63 meV/atom
DOS(E_F) = 2.8 states/eV/cell
V = 20.6 Å³/atom

Cell lengths 4.6356, 4.6356, 4.7990 Å; angles 90.00, 90.00, 90.00 degrees
Atoms (fractional coordinates):
V1 0.0000 0.0000 0.0000
P1 0.0000 0.0000 0.5000
Ag1 0.5000 0.5000 0.5000
Cl1 0.5000 0.0000 0.0000
Cl2 0.0000 0.5000 0.0000

The following is a GGA-PBE calculation of a relaxed TbTmThSc3 crystal, from Alexandria via LeMat-Bulk.

DOS(E_F) = 16.9 states/eV/cell
V = 27.8 Å³/atom
energy relative to the elements = 0.29 eV per formula unit

Cell lengths 3.4346, 10.1443, 10.0884 Å; angles 108.28, 90.00, 90.00 degrees
Atoms (fractional coordinates):
Sc1 0.2500 0.6163 0.7906
Sc2 0.7500 0.8718 0.0371
Th1 0.7500 0.3711 0.8743
Th2 0.2500 0.6289 0.1257
Sc3 0.7500 0.3837 0.2094
Tm1 0.2500 0.1280 0.6229
Tb1 0.2500 0.1305 0.2871
Sc4 0.7500 0.3811 0.5421
Tm2 0.7500 0.8720 0.3771
Tb2 0.7500 0.8695 0.7129
Sc5 0.2500 0.6189 0.4579
Sc6 0.2500 0.1282 0.9629

The following is a GGA-PBE calculation of a relaxed CaLuHg2 crystal, from Alexandria via LeMat-Bulk.

DOS(E_F) = 1.4 states/eV/cell
V = 25.7 Å³/atom
energy relative to the elements = -2.09 eV per formula unit

Cell lengths 3.7179, 3.7179, 7.4246 Å; angles 90.00, 90.00, 90.00 degrees
Atoms (fractional coordinates):
Lu1 0.5000 0.5000 0.0000
Ca1 0.5000 0.5000 0.5000
Hg1 0.0000 0.0000 0.2318
Hg2 0.0000 0.0000 0.7682